No. 1
Material: Cs2HfCrCu
Method: DFT, PBE
State: optimized geometry

Cell: 6.7133 6.7133 4.4370 Å, 90.00 90.00 90.00°
Atoms (fractional coordinates):
1 Cs 0.0000 0.5000 0.0000
2 Cs 0.5000 0.0000 0.0000
3 Hf 0.0000 0.0000 0.5000
4 Cr 0.5000 0.5000 0.0000
5 Cu 0.5000 0.5000 0.5000

Properties
Calculated formation energy in meV per atom: 1718
Calculated density in g/cm³: 4.65

***

No. 2
Material: Cs2CrCuI6
Method: DFT, PBE
State: optimized geometry

Cell: 8.2869 8.2869 8.2869 Å, 122.76 122.76 85.29°
Atoms (fractional coordinates):
1 Cs 0.2500 0.7500 0.5000
2 Cs 0.7500 0.2500 0.5000
3 Cr 0.0000 0.0000 0.0000
4 Cu 0.5000 0.5000 0.0000
5 I 0.2254 0.2254 0.0000
6 I 0.2544 0.2544 0.5088
7 I 0.2544 0.7456 0.0000
8 I 0.7456 0.2544 0.0000
9 I 0.7456 0.7456 0.4912
10 I 0.7746 0.7746 0.0000

Properties
ΔE_f (raw) in eV/atom: -0.7342
Calculated density in g/cm³: 4.94

***

No. 3
Material: Cs2CrCuI
Method: DFT, PBE
State: optimized geometry

Cell: 7.3735 7.3735 5.2797 Å, 90.00 90.00 90.00°
Atoms (fractional coordinates):
1 Cs 0.0000 0.5000 0.0000
2 Cs 0.5000 0.0000 0.0000
3 Cr 0.0000 0.0000 0.5000
4 Cu 0.5000 0.5000 0.5000
5 I 0.5000 0.5000 0.0000

Properties
ΔE_f (raw) in eV/atom: 0.4263
Calculated density in g/cm³: 2.94

***

No. 4
Material: CsCr3Cu4I12
Method: DFT, PBE
State: optimized geometry

Cell: 9.5485 9.5485 9.5485 Å, 106.35 106.35 106.35°
Atoms (fractional coordinates):
1 Cs 0.0000 0.0000 0.0000
2 Cr 0.0000 0.5699 0.4301
3 Cr 0.4301 0.0000 0.5699
4 Cr 0.5699 0.4301 0.0000
5 Cu 0.0768 0.5000 0.9232
6 Cu 0.5000 0.5000 0.5000
7 Cu 0.5000 0.9232 0.0768
8 Cu 0.9232 0.0768 0.5000
9 I 0.0202 0.6365 0.7390
10 I 0.0930 0.9070 0.5000
11 I 0.2610 0.3635 0.9798
12 I 0.3321 0.6679 0.5000
13 I 0.3635 0.9798 0.2610
14 I 0.5000 0.0930 0.9070
15 I 0.5000 0.3321 0.6679
16 I 0.6365 0.7390 0.0202
17 I 0.6679 0.5000 0.3321
18 I 0.7390 0.0202 0.6365
19 I 0.9070 0.5000 0.0930
20 I 0.9798 0.2610 0.3635

Properties
ΔE_f (raw) in eV/atom: -0.3053
Calculated density in g/cm³: 4.65

***

No. 5
Material: CsLiCr2Cu
Method: DFT, PBE
State: optimized geometry

Cell: 5.0122 5.0122 4.9094 Å, 90.00 90.00 90.00°
Atoms (fractional coordinates):
1 Cs 0.0000 0.0000 0.0000
2 Li 0.5000 0.5000 0.5000
3 Cr 0.0000 0.5000 0.5000
4 Cr 0.5000 0.0000 0.5000
5 Cu 0.5000 0.5000 0.0000

Properties
Calculated formation energy in meV per atom: 1198
ΔE to the lowest computed polymorph in meV per atom: 0
Calculated density in g/cm³: 4.14

***

No. 6
Material: CsLiCr2Cu
Method: DFT, PBE
State: optimized geometry

Cell: 4.9463 4.9463 5.7804 Å, 90.00 90.00 90.00°
Atoms (fractional coordinates):
1 Cs 0.0000 0.0000 0.0000
2 Li 0.0000 0.0000 0.5000
3 Cr 0.0000 0.5000 0.5000
4 Cr 0.5000 0.0000 0.5000
5 Cu 0.5000 0.5000 0.0000

Properties
Calculated formation energy in meV per atom: 1462
ΔE to the lowest computed polymorph in meV per atom: 264
Calculated density in g/cm³: 3.61

***

No. 7
Material: CsCrCuS3
Method: DFT, PBE
State: optimized geometry

Cell: 8.6903 3.6645 9.5298 Å, 90.00 116.34 90.00°
Atoms (fractional coordinates):
1 Cs 0.0166 0.2500 0.2605
2 Cs 0.9834 0.7500 0.7395
3 Cr 0.4694 0.2500 0.1514
4 Cr 0.5306 0.7500 0.8486
5 Cu 0.4752 0.7500 0.3934
6 Cu 0.5248 0.2500 0.6066
7 S 0.2796 0.7500 0.1409
8 S 0.3481 0.7500 0.5699
9 S 0.3596 0.2500 0.8728
10 S 0.6404 0.7500 0.1272
11 S 0.6519 0.2500 0.4301
12 S 0.7204 0.2500 0.8591

Properties
ΔE_f (raw) in eV/atom: -0.7139
Calculated density in g/cm³: 4.21

***

No. 8
Material: Cs2CrCuSe4
Method: DFT, PBE
State: optimized geometry

Cell: 14.6712 13.0282 7.8693 Å, 85.41 62.27 32.32°
Atoms (fractional coordinates):
1 Cs 0.0534 0.0534 0.6966
2 Cs 0.3034 0.3034 0.9466
3 Cs 0.6966 0.6966 0.0534
4 Cs 0.9466 0.9466 0.3034
5 Cr 0.3750 0.3750 0.3750
6 Cr 0.6250 0.6250 0.6250
7 Cu 0.1250 0.1250 0.1250
8 Cu 0.8750 0.8750 0.8750
9 Se 0.0008 0.6452 0.5686
10 Se 0.2854 0.5686 0.6452
11 Se 0.3548 0.9992 0.7146
12 Se 0.4314 0.7146 0.9992
13 Se 0.5686 0.2854 0.0008
14 Se 0.6452 0.0008 0.2854
15 Se 0.7146 0.4314 0.3548
16 Se 0.9992 0.3548 0.4314

Properties
ΔE_f (raw) in eV/atom: -0.7688
Calculated density in g/cm³: 4.34

***

The following raw total energy values (in eV per atom) correspond, in order, to the records above: -3.358; -3.207; -2.969; -3.541; -4.024; -3.760; -5.206; -4.439.